[1]
A relaxed structure of PmInSi, computed with PBE-GGA.

```
data_PmInSi
_cell_length_a 7.034
_cell_length_b 7.034
_cell_length_c 7.034
_cell_angle_alpha 90.00
_cell_angle_beta 90.00
_cell_angle_gamma 90.00
_space_group_name_H-M_alt 'F -4 3 m'
_space_group_IT_number 216
_space_group_name_Hall 'F -4 2 3'
loop_
_atom_site_label
_atom_site_fract_x
_atom_site_fract_y
_atom_site_fract_z
_atom_site_occupancy
Pm1 0.000 0.000 0.000 1
In1 0.250 0.250 0.750 1
Si1 0.250 0.250 0.250 1
```

Values from the calculation:
The total magnetization is 0.00 Bohr magnetons per cell. Its total energy is -0.156 Ha/atom. As for the energy above the most stable polymorph in this dataset: 0.272 eV/atom.

[2]
A relaxed structure of PmInSi, computed with PBE-GGA.

```
data_PmInSi
_cell_length_a 6.761
_cell_length_b 6.761
_cell_length_c 6.761
_cell_angle_alpha 90.00
_cell_angle_beta 90.00
_cell_angle_gamma 90.00
_space_group_name_H-M_alt 'F -4 3 m'
_space_group_IT_number 216
_space_group_name_Hall 'F -4 2 3'
loop_
_atom_site_label
_atom_site_fract_x
_atom_site_fract_y
_atom_site_fract_z
_atom_site_occupancy
Pm1 0.000 0.000 0.000 1
In1 0.000 0.000 0.500 1
Si1 0.250 0.250 0.750 1
```

Values from the calculation:
The total magnetization is 0.02 Bohr magnetons per cell. Its total energy is -0.166 Ha/atom. As for the energy above the most stable polymorph in this dataset: 0.000 eV/atom.

[3]
A relaxed structure of PmIn2Sn, computed with PBE-GGA.

```
data_PmIn2Sn
_cell_length_a 4.639
_cell_length_b 4.639
_cell_length_c 4.855
_cell_angle_alpha 90.00
_cell_angle_beta 90.00
_cell_angle_gamma 90.00
_space_group_name_H-M_alt 'P 4/m m m'
_space_group_IT_number 123
_space_group_name_Hall '-P 4 2'
loop_
_atom_site_label
_atom_site_fract_x
_atom_site_fract_y
_atom_site_fract_z
_atom_site_occupancy
Pm1 0.000 0.000 0.000 1
In1 0.000 0.500 0.500 1
Sn1 0.500 0.500 0.000 1
```

Values from the calculation:
The total magnetization is 0.00 Bohr magnetons per cell. Its total energy is -0.149 Ha/atom.

[4]
A relaxed structure of PmInSn, computed with PBE-GGA.

```
data_PmInSn
_cell_length_a 7.231
_cell_length_b 7.231
_cell_length_c 7.231
_cell_angle_alpha 90.00
_cell_angle_beta 90.00
_cell_angle_gamma 90.00
_space_group_name_H-M_alt 'F -4 3 m'
_space_group_IT_number 216
_space_group_name_Hall 'F -4 2 3'
loop_
_atom_site_label
_atom_site_fract_x
_atom_site_fract_y
_atom_site_fract_z
_atom_site_occupancy
Pm1 0.000 0.000 0.000 1
In1 0.000 0.000 0.500 1
Sn1 0.250 0.250 0.750 1
```

Values from the calculation:
The total magnetization is 0.02 Bohr magnetons per cell. Its total energy is -0.148 Ha/atom. As for the energy above the most stable polymorph in this dataset: 0.000 eV/atom.

[5]
A relaxed structure of PmInSn2, computed with PBE-GGA.

```
data_PmInSn2
_cell_length_a 4.729
_cell_length_b 4.729
_cell_length_c 4.734
_cell_angle_alpha 90.00
_cell_angle_beta 90.00
_cell_angle_gamma 90.00
_space_group_name_H-M_alt 'P 4/m m m'
_space_group_IT_number 123
_space_group_name_Hall '-P 4 2'
loop_
_atom_site_label
_atom_site_fract_x
_atom_site_fract_y
_atom_site_fract_z
_atom_site_occupancy
Pm1 0.000 0.000 0.000 1
In1 0.500 0.500 0.000 1
Sn1 0.000 0.500 0.500 1
```

Values from the calculation:
The total magnetization is 0.00 Bohr magnetons per cell. Its total energy is -0.161 Ha/atom.

[6]
A relaxed structure of PmTaIn, computed with PBE-GGA.

```
data_PmTaIn
_cell_length_a 7.121
_cell_length_b 7.121
_cell_length_c 7.121
_cell_angle_alpha 90.00
_cell_angle_beta 90.00
_cell_angle_gamma 90.00
_space_group_name_H-M_alt 'F -4 3 m'
_space_group_IT_number 216
_space_group_name_Hall 'F -4 2 3'
loop_
_atom_site_label
_atom_site_fract_x
_atom_site_fract_y
_atom_site_fract_z
_atom_site_occupancy
Pm1 0.000 0.000 0.000 1
Ta1 0.250 0.250 0.250 1
In1 0.250 0.250 0.750 1
```

Values from the calculation:
The total magnetization is 10.83 Bohr magnetons per cell. Its total energy is -0.193 Ha/atom.